Entry 1:
# Zn2Te (PBE, optimized geometry)
# DOS(E_F)   1.611 states/eV/f.u.
# Calculated volume   68.9 Å³/f.u.
# Formation energy without anion corrections   25 meV/atom
# Energy relative to the lowest polymorph listed for this composition   0.146 eV/atom
data_Zn2Te
_chemical_formula_sum 'Zn2 Te1'
_cell_length_a 5.2347
_cell_length_b 5.2347
_cell_length_c 5.2347
_cell_angle_alpha 46.50
_cell_angle_beta 46.50
_cell_angle_gamma 46.50
_symmetry_space_group_name_H-M 'P 1'
_symmetry_Int_Tables_number 1
_symmetry_space_group_name_Hall 'P 1'
loop_
_atom_site_label
_atom_site_type_symbol
_atom_site_fract_x
_atom_site_fract_y
_atom_site_fract_z
_atom_site_occupancy
Zn1 Zn 0.5472 0.5472 0.5472 1
Zn2 Zn 0.7843 0.7843 0.7843 1
Te1 Te 0.0018 0.0018 0.0018 1

Entry 2:
# Pm6Te3C2Se (PBE, optimized geometry)
# DOS(E_F)   4.278 states/eV/f.u.
# Calculated volume   312.8 Å³/f.u.
# Formation energy without anion corrections   -1108 meV/atom
data_Pm6Te3C2Se
_chemical_formula_sum 'Pm6 Te3 C2 Se1'
_cell_length_a 4.0560
_cell_length_b 8.6344
_cell_length_c 9.5163
_cell_angle_alpha 105.76
_cell_angle_beta 102.30
_cell_angle_gamma 90.00
_symmetry_space_group_name_H-M 'P 1'
_symmetry_Int_Tables_number 1
_symmetry_space_group_name_Hall 'P 1'
loop_
_atom_site_label
_atom_site_type_symbol
_atom_site_fract_x
_atom_site_fract_y
_atom_site_fract_z
_atom_site_occupancy
Te1 Te 0.8421 0.1677 0.6841 1
Te2 Te 0.1579 0.8323 0.3159 1
Te3 Te 0.5000 0.5000 0.0000 1
Pm1 Pm 0.6720 0.1348 0.3440 1
Pm2 Pm 0.3280 0.8652 0.6560 1
Pm3 Pm 0.3192 0.4463 0.6384 1
Pm4 Pm 0.0288 0.2563 0.0576 1
Pm5 Pm 0.6808 0.5537 0.3616 1
Pm6 Pm 0.9712 0.7437 0.9424 1
C1 C 0.8301 0.6656 0.6602 1
C2 C 0.1699 0.3344 0.3398 1
Se1 Se 0.5000 0.0000 0.0000 1

Entry 3:
# PaTiCrN3 (PBE, optimized geometry)
# DOS(E_F)   2.901 states/eV/f.u.
# Calculated volume   73.7 Å³/f.u.
# Formation energy without anion corrections   -1225 meV/atom
data_PaTiCrN3
_chemical_formula_sum 'Pa2 Ti2 Cr2 N6'
_cell_length_a 3.0558
_cell_length_b 6.7292
_cell_length_c 7.3334
_cell_angle_alpha 102.29
_cell_angle_beta 90.00
_cell_angle_gamma 90.00
_symmetry_space_group_name_H-M 'P 1'
_symmetry_Int_Tables_number 1
_symmetry_space_group_name_Hall 'P 1'
loop_
_atom_site_label
_atom_site_type_symbol
_atom_site_fract_x
_atom_site_fract_y
_atom_site_fract_z
_atom_site_occupancy
Pa1 Pa 0.2500 0.1824 0.1992 1
Pa2 Pa 0.7500 0.8176 0.8008 1
N1 N 0.7500 0.1900 0.4594 1
N2 N 0.2500 0.8100 0.5406 1
N3 N 0.2500 0.1273 0.8671 1
N4 N 0.7500 0.8727 0.1329 1
N5 N 0.2500 0.5681 0.8464 1
N6 N 0.7500 0.4319 0.1536 1
Ti1 Ti 0.7500 0.3505 0.8658 1
Ti2 Ti 0.2500 0.6495 0.1342 1
Cr1 Cr 0.7500 0.8868 0.4026 1
Cr2 Cr 0.2500 0.1132 0.5974 1

Entry 4:
# Dy2Y2ErMg5 (PBE, optimized geometry)
# DOS(E_F)   7.798 states/eV/f.u.
# Calculated volume   282.1 Å³/f.u.
# E_form   0.08 eV per atom
data_Dy2Y2ErMg5
_chemical_formula_sum 'Dy4 Y4 Er2 Mg10'
_cell_length_a 5.0452
_cell_length_b 10.5753
_cell_length_c 10.5753
_cell_angle_alpha 90.00
_cell_angle_beta 90.00
_cell_angle_gamma 90.00
_symmetry_space_group_name_H-M 'P 1'
_symmetry_Int_Tables_number 1
_symmetry_space_group_name_Hall 'P 1'
loop_
_atom_site_label
_atom_site_type_symbol
_atom_site_fract_x
_atom_site_fract_y
_atom_site_fract_z
_atom_site_occupancy
Dy1 Dy 0.0000 0.8810 0.3810 1
Dy2 Dy 0.0000 0.3810 0.1190 1
Dy3 Dy 0.0000 0.1190 0.6190 1
Dy4 Dy 0.0000 0.6190 0.8810 1
Mg1 Mg 0.5000 0.1969 0.0679 1
Mg2 Mg 0.5000 0.3031 0.5679 1
Mg3 Mg 0.5000 0.6969 0.4321 1
Mg4 Mg 0.5000 0.8031 0.9321 1
Mg5 Mg 0.5000 0.9321 0.1969 1
Mg6 Mg 0.5000 0.4321 0.3031 1
Mg7 Mg 0.5000 0.0000 0.5000 1
Mg8 Mg 0.5000 0.0679 0.8031 1
Mg9 Mg 0.5000 0.5000 0.0000 1
Mg10 Mg 0.5000 0.5679 0.6969 1
Y1 Y 0.0000 0.8217 0.6783 1
Y2 Y 0.0000 0.6783 0.1783 1
Y3 Y 0.0000 0.3217 0.8217 1
Y4 Y 0.0000 0.1783 0.3217 1
Er1 Er 0.0000 0.5000 0.5000 1
Er2 Er 0.0000 0.0000 0.0000 1

Entry 5:
# Tb2HoTm5 (PBE, optimized geometry)
# DOS(E_F)   11.669 states/eV/f.u.
# Calculated volume   250.2 Å³/f.u.
# E_form   0.19 eV per atom
# Energy relative to the lowest polymorph listed for this composition   0.172 eV/atom
data_Tb2HoTm5
_chemical_formula_sum 'Tb4 Ho2 Tm10'
_cell_length_a 8.7467
_cell_length_b 8.4827
_cell_length_c 10.6368
_cell_angle_alpha 90.00
_cell_angle_beta 90.00
_cell_angle_gamma 39.34
_symmetry_space_group_name_H-M 'P 1'
_symmetry_Int_Tables_number 1
_symmetry_space_group_name_Hall 'P 1'
loop_
_atom_site_label
_atom_site_type_symbol
_atom_site_fract_x
_atom_site_fract_y
_atom_site_fract_z
_atom_site_occupancy
Tm1 Tm 0.2088 0.6659 0.4145 1
Tm2 Tm 0.2442 0.6978 0.7500 1
Tm3 Tm 0.2911 0.9768 0.0840 1
Tm4 Tm 0.7558 0.3022 0.2500 1
Tm5 Tm 0.2088 0.6659 0.0855 1
Tm6 Tm 0.7912 0.3341 0.9145 1
Tm7 Tm 0.7089 0.0232 0.5840 1
Tm8 Tm 0.2911 0.9768 0.4160 1
Tm9 Tm 0.7912 0.3341 0.5855 1
Tm10 Tm 0.7089 0.0232 0.9160 1
Ho1 Ho 0.5457 0.8250 0.7500 1
Ho2 Ho 0.4543 0.1750 0.2500 1
Tb1 Tb 0.1561 0.3916 0.6080 1
Tb2 Tb 0.1561 0.3916 0.8920 1
Tb3 Tb 0.8439 0.6084 0.1080 1
Tb4 Tb 0.8439 0.6084 0.3920 1

Entry 6:
# RePb2 (PBE, optimized geometry)
# DOS(E_F)   2.818 states/eV/f.u.
# Calculated volume   82.0 Å³/f.u.
# E_form   0.80 eV per atom
# Energy relative to the lowest polymorph listed for this composition   0.243 eV/atom
data_RePb2
_chemical_formula_sum 'Re2 Pb4'
_cell_length_a 3.3371
_cell_length_b 7.0050
_cell_length_c 7.0154
_cell_angle_alpha 90.00
_cell_angle_beta 90.00
_cell_angle_gamma 90.00
_symmetry_space_group_name_H-M 'P 1'
_symmetry_Int_Tables_number 1
_symmetry_space_group_name_Hall 'P 1'
loop_
_atom_site_label
_atom_site_type_symbol
_atom_site_fract_x
_atom_site_fract_y
_atom_site_fract_z
_atom_site_occupancy
Pb1 Pb 0.5000 0.2240 0.2236 1
Pb2 Pb 0.0000 0.7240 0.2764 1
Pb3 Pb 0.0000 0.2760 0.7236 1
Pb4 Pb 0.5000 0.7760 0.7764 1
Re1 Re 0.0000 0.0000 0.0000 1
Re2 Re 0.5000 0.5000 0.5000 1